Pa3Sn4Pd3, optimized geometry, DFT GGA-PBE; calculated volume = 460.6 Å³/cell; symmetry = I-43d, No. 220; size of the total moment = 0.0 Bohr magnetons per cell; formation energy from the elements = -559 meV/atom
1.0
7.945 0.000 -2.809
-3.972 6.880 -2.809
0.000 0.000 8.427
Pa Sn Pd
6 8 6
direct
0.125 0.375 0.250
0.250 0.875 0.125
0.750 0.625 0.375
0.625 0.750 0.875
0.875 0.250 0.625
0.375 0.125 0.750
0.822 0.500 0.000
0.678 0.178 0.178
0.500 0.822 0.500
0.000 0.000 0.822
0.500 0.322 0.500
0.000 0.000 0.322
0.178 0.678 0.678
0.322 0.500 0.000
0.125 0.750 0.375
0.625 0.875 0.250
0.375 0.250 0.125
0.250 0.375 0.625
0.750 0.125 0.875
0.875 0.625 0.750